No. 1
# Ta3Ru

A crystal of Ta3Ru relaxed with PBEsol (meta-GGA SCAN, Alexandria via LeMat-Bulk).

POSCAR file:
```
Ta3Ru
1.0
-0.1007 -0.5065 2.8238
5.0766 -0.8243 -0.9396
-1.6422 4.9616 -0.1414
Ta Ru
3 1
direct
0.5000 0.5000 0.0000 Ta
0.0000 0.5000 0.5000 Ta
0.5000 0.0000 0.5000 Ta
0.0000 0.0000 0.0000 Ru
```

Calculated values
E_form: -0.97 eV per formula unit
E: -58.888 eV per atom
crystal system: trigonal
D(E_F): 2.015 states/eV per cell



No. 2
# Ta3Ru

A crystal of Ta3Ru relaxed with PBEsol (meta-GGA SCAN, Alexandria via LeMat-Bulk).

POSCAR file:
```
Ta3Ru
1.0
4.5174 0.0000 0.0000
2.2587 3.9122 0.0000
2.2587 1.3041 3.6884
Ta Ru
3 1
direct
0.5000 0.5000 0.5000 Ta
0.2500 0.2500 0.2500 Ta
0.7500 0.7500 0.7500 Ta
0.0000 0.0000 0.0000 Ru
```

Calculated values
E_form: -1.14 eV per formula unit
E: -58.928 eV per atom
crystal system: cubic
D(E_F): 2.199 states/eV per cell



No. 3
# Ta3Ru

A crystal of Ta3Ru relaxed with PBEsol (meta-GGA SCAN, Alexandria via LeMat-Bulk).

POSCAR file:
```
Ta3Ru
1.0
-2.3568 1.0352 -1.8708
-0.2584 -4.0785 -1.9313
-1.7524 0.2289 5.0405
Ru Ta
1 3
direct
0.0000 0.0000 0.0000 Ru
0.7446 0.2446 0.4892 Ta
0.5000 0.5000 0.0000 Ta
0.2554 0.7554 0.5108 Ta
```

Calculated values
E_form: -1.24 eV per formula unit
E: -58.954 eV per atom
crystal system: orthorhombic
D(E_F): 1.854 states/eV per cell



No. 4
# TbTaRu2

A crystal of TbTaRu2 relaxed with PBEsol (meta-GGA SCAN, Alexandria via LeMat-Bulk).

POSCAR file:
```
TbTaRu2
1.0
4.5712 0.0000 0.0000
2.2856 3.9588 0.0000
2.2856 1.3196 3.7324
Ru Tb Ta
2 1 1
direct
0.7500 0.7500 0.7500 Ru
0.2500 0.2500 0.2500 Ru
0.0000 0.0000 0.0000 Tb
0.5000 0.5000 0.5000 Ta
```

Calculated values
E_form: -1.71 eV per formula unit
E: -46.177 eV per atom
crystal system: cubic
D(E_F): 0.640 states/eV per cell



No. 5
# TaTe2Ru

A crystal of TaTe2Ru relaxed with PBEsol (meta-GGA SCAN, Alexandria via LeMat-Bulk).

POSCAR file:
```
TaTe2Ru
1.0
-3.6158 0.4231 -0.3135
-0.5668 -3.1009 2.3520
2.1023 5.5207 4.4969
Ta Ru Te
1 1 2
direct
0.0000 0.5000 0.0000 Ta
0.5000 0.0000 0.0000 Ru
0.8540 0.8540 0.7081 Te
0.1460 0.1460 0.2919 Te
```

Calculated values
E: -44.120 eV per atom
crystal system: orthorhombic
formation energy without anion corrections: -3.3 kcal/mol of atoms
D(E_F): 1.953 states/eV per cell



No. 6
# TaTe2Ru

A crystal of TaTe2Ru relaxed with PBEsol (meta-GGA SCAN, Alexandria via LeMat-Bulk).

POSCAR file:
```
TaTe2Ru
1.0
-0.0324 -3.1973 -1.2919
3.9770 -0.3652 0.8039
-3.3418 -0.5202 5.9742
Te Ru Ta
2 1 1
direct
0.0192 0.0192 0.0385 Te
0.7854 0.2854 0.5709 Te
0.5220 0.5220 0.0441 Ru
0.1733 0.6733 0.3466 Ta
```

Calculated values
E: -43.898 eV per atom
crystal system: orthorhombic
formation energy without anion corrections: 1.8 kcal/mol of atoms
D(E_F): 1.961 states/eV per cell